YCoIr2 | PBE | optimized geometry

a = 2.914 Å, b = 4.304 Å, c = 5.444 Å
α = 90.00°, β = 105.42°, γ = 90.00°
Space group Pm (No. 6)
One atom of each set of equivalent atoms:
Y 0.000 0.000 0.000 [1 per cell]
Co 0.614 0.500 0.230 [1 per cell]
Ir 0.316 0.500 0.638 [1 per cell]
Ir 0.735 0.000 0.476 [1 per cell]

Values from the calculation:
- N(E_F) (states/eV/atom) = 1.145
- E (eV per cell) = -31.58
- ρ (g cm⁻³) = 13.43
- size of the total moment (μB/atom) = 0.261
- ΔE_f (eV/atom) = -0.07
- ΔE to the lowest computed polymorph (eV/atom) = 0.112